# GGA-PBE ZnFeRe2, relaxed
# **Formation energy**: 287 meV per atom
# **Spin magnetization**: 2.16 μB per formula unit
# **Volume**: 56 Å³/cell
data_ZnFeRe2
_symmetry_space_group_name_H-M 'P 4/m m m'
_symmetry_Int_Tables_number 123
_symmetry_space_group_name_Hall '-P 4 2'
_cell_length_a 3.7330
_cell_length_b 3.7330
_cell_length_c 3.9840
_cell_angle_alpha 90.00
_cell_angle_beta 90.00
_cell_angle_gamma 90.00
loop_
_atom_site_label
_atom_site_fract_x
_atom_site_fract_y
_atom_site_fract_z
_atom_site_occupancy
Zn1 0.0000 0.0000 0.0000 1
Fe1 0.5000 0.5000 0.0000 1
Re1 0.0000 0.5000 0.5000 1


# GGA-PBE ZnFeRe2, relaxed
# **Formation energy**: 155 meV per atom
# **Spin magnetization**: 0.52 μB per formula unit
# **Volume**: 54 Å³/cell
data_ZnFeRe2
_symmetry_space_group_name_H-M 'P 4 m m'
_symmetry_Int_Tables_number 99
_symmetry_space_group_name_Hall 'P 4 -2'
_cell_length_a 2.7338
_cell_length_b 2.7338
_cell_length_c 7.2905
_cell_angle_alpha 90.00
_cell_angle_beta 90.00
_cell_angle_gamma 90.00
loop_
_atom_site_label
_atom_site_fract_x
_atom_site_fract_y
_atom_site_fract_z
_atom_site_occupancy
Zn1 0.0000 0.0000 0.0000 1
Fe1 0.5000 0.5000 0.2325 1
Re1 0.0000 0.0000 0.4561 1
Re2 0.5000 0.5000 0.7300 1


Which formula does entry 2 have?
ZnFeRe2


formation energy of number 1 (ZnFeRe2)?
287 meV per atom


Which value of formation energy does entry 1 give?
287 meV per atom


Which formula does entry 2 have?
ZnFeRe2